VASP calculation (PBE) on crystalline UAgPt at its relaxed geometry.

Unit cell a=6.669 b=6.669 c=6.669 alpha=90.00 beta=90.00 gamma=90.00
Fractional coordinates of all 12 atoms:
U1 0.000 0.000 0.000
U2 0.000 0.500 0.500
U3 0.500 0.000 0.500
U4 0.500 0.500 0.000
Ag1 0.250 0.250 0.750
Ag2 0.250 0.750 0.250
Ag3 0.750 0.250 0.250
Ag4 0.750 0.750 0.750
Pt1 0.250 0.250 0.250
Pt2 0.250 0.750 0.750
Pt3 0.750 0.250 0.750
Pt4 0.750 0.750 0.250

Computed properties:
- E above lowest polymorph (meV/atom) = 354
- formation energy from the elements (meV per atom) = 299

---

VASP calculation (PBE) on crystalline CsZrO3 at its relaxed geometry.

Unit cell a=4.297 b=4.297 c=4.297 alpha=90.00 beta=90.00 gamma=90.00
Fractional coordinates of all 5 atoms:
Cs1 0.000 0.000 0.000
Zr1 0.500 0.500 0.500
O1 0.000 0.500 0.500
O2 0.500 0.000 0.500
O3 0.500 0.500 0.000

---

VASP calculation (PBE) on crystalline Lu2Os at its relaxed geometry.

Unit cell a=8.158 b=8.158 c=8.158 alpha=60.00 beta=60.00 gamma=60.00
Fractional coordinates of all 6 atoms:
Lu1 0.000 0.000 0.000
Lu2 0.000 0.000 0.500
Lu3 0.000 0.500 0.000
Lu4 0.500 0.000 0.000
Os1 0.125 0.125 0.125
Os2 0.875 0.875 0.875

Computed properties:
- formation energy from the elements (meV per atom) = 1172

---

VASP calculation (PBE) on crystalline AgGeAu2 at its relaxed geometry.

Unit cell a=6.650 b=6.650 c=6.650 alpha=90.00 beta=90.00 gamma=90.00
Fractional coordinates of all 16 atoms:
Ag1 0.000 0.000 0.000
Ag2 0.000 0.500 0.500
Ag3 0.500 0.000 0.500
Ag4 0.500 0.500 0.000
Ge1 0.250 0.250 0.750
Ge2 0.250 0.750 0.250
Ge3 0.750 0.250 0.250
Ge4 0.750 0.750 0.750
Au1 0.000 0.000 0.500
Au2 0.000 0.500 0.000
Au3 0.250 0.250 0.250
Au4 0.250 0.750 0.750
Au5 0.500 0.000 0.000
Au6 0.500 0.500 0.500
Au7 0.750 0.250 0.750
Au8 0.750 0.750 0.250

---

VASP calculation (PBE) on crystalline BiOsPd2 at its relaxed geometry.

Unit cell a=6.506 b=6.506 c=6.506 alpha=90.00 beta=90.00 gamma=90.00
Fractional coordinates of all 16 atoms:
Bi1 0.000 0.000 0.000
Bi2 0.000 0.500 0.500
Bi3 0.500 0.000 0.500
Bi4 0.500 0.500 0.000
Os1 0.250 0.250 0.250
Os2 0.250 0.750 0.750
Os3 0.750 0.250 0.750
Os4 0.750 0.750 0.250
Pd1 0.000 0.000 0.500
Pd2 0.000 0.500 0.000
Pd3 0.250 0.250 0.750
Pd4 0.250 0.750 0.250
Pd5 0.500 0.000 0.000
Pd6 0.500 0.500 0.500
Pd7 0.750 0.250 0.250
Pd8 0.750 0.750 0.750

---

VASP calculation (PBE) on crystalline GeTeAu at its relaxed geometry.

Unit cell a=9.487 b=3.911 c=8.011 alpha=90.00 beta=90.00 gamma=90.00
Fractional coordinates of all 12 atoms:
Ge1 0.121 0.250 0.044
Ge2 0.379 0.750 0.544
Ge3 0.621 0.250 0.456
Ge4 0.879 0.750 0.956
Te1 0.171 0.250 0.478
Te2 0.329 0.750 0.978
Te3 0.671 0.250 0.022
Te4 0.829 0.750 0.522
Au1 0.001 0.750 0.244
Au2 0.499 0.250 0.744
Au3 0.501 0.750 0.256
Au4 0.999 0.250 0.756

---

Number 1: density 12.1 g/cm3, energy -6.43 eV/atom. Number 2: density 5.7 g/cm3, energy -7.10 eV/atom. Number 3: density 4.7 g/cm3, energy -5.59 eV/atom. Number 4: density 13.0 g/cm3, energy -3.43 eV/atom. Number 5: density 14.8 g/cm3, energy -6.05 eV/atom. Number 6: density 8.9 g/cm3, energy -3.65 eV/atom.